DFT (PBE-GGA) results for a relaxed NaNiH3 crystal.

a = 3.0557 Å, b = 3.0557 Å, c = 10.5160 Å
α = 81.65°, β = 81.65°, γ = 90.00°
Fractional positions:
H 0.1105 0.9411 0.7790
Ni 0.8656 0.3656 0.2689
H 0.7201 0.8895 0.2210
H 0.6692 0.6692 0.6615
Na 0.0000 0.0000 0.0000
H 0.3308 0.3308 0.3385
Na 0.2500 0.7500 0.5000
H 0.1105 0.2799 0.7790
Ni 0.6344 0.1344 0.7311
H 0.0589 0.8895 0.2210

Calculated values
- magnetic moment (μB per atom) = 0.000
- total DFT energy (no corrections) (eV per cell) = -32.77